# LiBeAlAu2 PBE relaxed
data_LiBeAlAu2
_chemical_formula_sum 'Li1 Be1 Al1 Au2'
_cell_length_a 4.4232
_cell_length_b 4.4232
_cell_length_c 4.1832
_cell_angle_alpha 90.00
_cell_angle_beta 90.00
_cell_angle_gamma 90.00
_space_group_name_H-M_alt 'P 4/m m m'
_space_group_IT_number 123
_space_group_name_Hall '-P 4 2'
loop_
_atom_site_label
_atom_site_fract_x
_atom_site_fract_y
_atom_site_fract_z
Li1 0.0000 0.0000 0.0000
Be1 0.0000 0.0000 0.5000
Al1 0.5000 0.5000 0.0000
Au1 0.0000 0.5000 0.5000
# Energy relative to the elements: 40.2 meV per atom
# E_tot: -3.15 eV/atom
# Density of states at the Fermi level: 0.276 states/eV/atom
# Magnetization: 0.0 μB per cell
# Mass density: 8.864 g cm⁻³